The following is a PBE calculation of a relaxed structure of Ba2NbSbO6, from OQMD.

Values from the calculation:
Space group: Fm-3m, No. 225
Magnetization in μB/cell: 0.00

Structure (POSCAR):
```
Ba2NbSbO6
1.0
-3.013 3.013 4.260
3.013 -3.013 4.260
3.013 3.013 -4.260
Ba Nb O Sb
2 1 6 1
Direct
0.509 0.009 0.500 Ba
0.009 0.509 0.500 Ba
0.759 0.759 0.000 Nb
0.994 0.522 0.000 O
0.523 0.523 0.000 O
0.522 0.994 0.000 O
0.994 0.994 0.000 O
0.994 0.994 0.472 O
0.522 0.522 0.528 O
0.259 0.259 0.000 Sb
```

---

The following is a PBE calculation of a relaxed structure of Ba3SrNb2O9, from OQMD.

Values from the calculation:
Space group: P6_3/m, No. 176
Magnetization in μB/cell: 0.00

Structure (POSCAR):
```
Ba3SrNb2O9
1.0
6.093 0.000 0.000
-3.047 5.277 0.000
0.000 0.000 15.428
Ba Nb O Sr
6 4 18 2
Direct
0.333 0.667 0.119 Ba
0.000 0.000 0.250 Ba
0.333 0.667 0.381 Ba
0.667 0.333 0.619 Ba
0.000 0.000 0.750 Ba
0.667 0.333 0.881 Ba
0.667 0.333 0.153 Nb
0.667 0.333 0.347 Nb
0.333 0.667 0.653 Nb
0.333 0.667 0.847 Nb
0.351 0.117 0.097 O
0.883 0.235 0.097 O
0.765 0.649 0.097 O
0.563 0.037 0.250 O
0.474 0.437 0.250 O
0.963 0.526 0.250 O
0.883 0.235 0.403 O
0.351 0.117 0.403 O
0.765 0.649 0.403 O
0.235 0.351 0.597 O
0.117 0.765 0.597 O
0.649 0.883 0.597 O
0.037 0.474 0.750 O
0.526 0.563 0.750 O
0.437 0.963 0.750 O
0.235 0.351 0.903 O
0.117 0.765 0.903 O
0.649 0.883 0.903 O
0.000 0.000 0.000 Sr
0.000 0.000 0.500 Sr
```

---

The following is a PBE calculation of a relaxed structure of Ba2Nb2TeO10, from OQMD.

Values from the calculation:
Space group: Pbca, No. 61
Magnetization in μB/cell: 0.00

Structure (POSCAR):
```
Ba2Nb2TeO10
1.0
7.281 0.000 0.000
0.000 12.406 0.000
0.000 0.000 9.918
Ba Nb O Te
8 8 40 4
Direct
0.018 0.140 0.109 Ba
0.482 0.640 0.109 Ba
0.518 0.140 0.391 Ba
0.982 0.640 0.391 Ba
0.018 0.360 0.609 Ba
0.482 0.860 0.609 Ba
0.518 0.360 0.891 Ba
0.982 0.860 0.891 Ba
0.210 0.392 0.245 Nb
0.290 0.892 0.245 Nb
0.710 0.392 0.255 Nb
0.790 0.892 0.255 Nb
0.210 0.108 0.745 Nb
0.290 0.608 0.745 Nb
0.710 0.108 0.755 Nb
0.790 0.608 0.755 Nb
0.075 0.358 0.070 O
0.425 0.858 0.070 O
0.765 0.487 0.094 O
0.735 0.987 0.094 O
0.379 0.056 0.156 O
0.121 0.556 0.156 O
0.444 0.414 0.164 O
0.056 0.914 0.164 O
0.720 0.253 0.200 O
0.780 0.753 0.200 O
0.220 0.253 0.300 O
0.280 0.753 0.300 O
0.944 0.414 0.336 O
0.556 0.914 0.336 O
0.879 0.056 0.344 O
0.621 0.556 0.344 O
0.265 0.487 0.406 O
0.235 0.987 0.406 O
0.575 0.358 0.430 O
0.925 0.858 0.430 O
0.075 0.142 0.570 O
0.425 0.642 0.570 O
0.765 0.013 0.594 O
0.735 0.513 0.594 O
0.379 0.444 0.656 O
0.121 0.944 0.656 O
0.444 0.086 0.664 O
0.056 0.586 0.664 O
0.720 0.247 0.700 O
0.780 0.747 0.700 O
0.220 0.247 0.800 O
0.280 0.747 0.800 O
0.944 0.086 0.836 O
0.556 0.586 0.836 O
0.879 0.444 0.844 O
0.621 0.944 0.844 O
0.265 0.013 0.906 O
0.235 0.513 0.906 O
0.575 0.142 0.930 O
0.925 0.642 0.930 O
0.500 0.000 0.000 Te
0.000 0.500 0.000 Te
0.000 0.000 0.500 Te
0.500 0.500 0.500 Te
```

---

The following is a PBE calculation of a relaxed structure of Ba3Nb2ZnO9, from OQMD.

Values from the calculation:
Space group: P-3m1, No. 164
Magnetization in μB/cell: 0.00

Structure (POSCAR):
```
Ba3Nb2ZnO9
1.0
5.804 0.000 0.000
-2.902 5.026 0.000
0.000 0.000 7.141
Ba Nb O Zn
3 2 9 1
Direct
0.000 0.000 0.000 Ba
0.667 0.333 0.335 Ba
0.333 0.667 0.665 Ba
0.333 0.667 0.178 Nb
0.667 0.333 0.822 Nb
0.000 0.500 0.000 O
0.500 0.500 0.000 O
0.500 0.000 0.000 O
0.658 0.829 0.326 O
0.171 0.829 0.326 O
0.171 0.342 0.326 O
0.342 0.171 0.674 O
0.829 0.171 0.674 O
0.829 0.658 0.674 O
0.000 0.000 0.500 Zn
```

---

The following is a PBE calculation of a relaxed structure of BaPaNb, from OQMD.

Values from the calculation:
Space group: F-43m, No. 216
Magnetization in μB/cell: 0.00

Structure (POSCAR):
```
BaPaNb
1.0
0.000 3.593 3.593
3.593 0.000 3.593
3.593 3.593 0.000
Ba Nb Pa
1 1 1
Direct
0.250 0.250 0.250 Ba
0.000 0.000 0.000 Nb
0.750 0.750 0.750 Pa
```

---

The following is a PBE calculation of a relaxed structure of BaNbPd, from OQMD.

Values from the calculation:
Space group: F-43m, No. 216
Magnetization in μB/cell: 3.09

Structure (POSCAR):
```
BaNbPd
1.0
0.000 3.498 3.498
3.498 0.000 3.498
3.498 3.498 0.000
Ba Nb Pd
1 1 1
Direct
0.000 0.000 0.000 Ba
0.250 0.250 0.250 Nb
0.750 0.750 0.750 Pd
```

---

The following is a PBE calculation of a relaxed structure of BaNbPd, from OQMD.

Values from the calculation:
Space group: F-43m, No. 216
Magnetization in μB/cell: 2.78

Structure (POSCAR):
```
BaNbPd
1.0
0.000 3.536 3.536
3.536 0.000 3.536
3.536 3.536 0.000
Ba Nb Pd
1 1 1
Direct
0.250 0.250 0.250 Ba
0.750 0.750 0.750 Nb
0.000 0.000 0.000 Pd
```

---

The following is a PBE calculation of a relaxed structure of BaPrNb, from OQMD.

Values from the calculation:
Space group: F-43m, No. 216
Magnetization in μB/cell: 2.68

Structure (POSCAR):
```
BaPrNb
1.0
0.000 3.846 3.846
3.846 0.000 3.846
3.846 3.846 0.000
Ba Nb Pr
1 1 1
Direct
0.250 0.250 0.250 Ba
0.000 0.000 0.000 Nb
0.750 0.750 0.750 Pr
```

---

The following is a PBE calculation of a relaxed structure of BaNbPt, from OQMD.

Values from the calculation:
Space group: F-43m, No. 216
Magnetization in μB/cell: 2.90

Structure (POSCAR):
```
BaNbPt
1.0
0.000 3.467 3.467
3.467 0.000 3.467
3.467 3.467 0.000
Ba Nb Pt
1 1 1
Direct
0.000 0.000 0.000 Ba
0.250 0.250 0.250 Nb
0.750 0.750 0.750 Pt
```

---

The following is a PBE calculation of a relaxed structure of BaNbPt, from OQMD.

Values from the calculation:
Space group: F-43m, No. 216
Magnetization in μB/cell: 2.54

Structure (POSCAR):
```
BaNbPt
1.0
0.000 3.509 3.509
3.509 0.000 3.509
3.509 3.509 0.000
Ba Nb Pt
1 1 1
Direct
0.250 0.250 0.250 Ba
0.750 0.750 0.750 Nb
0.000 0.000 0.000 Pt
```

---

The following is a PBE calculation of a relaxed structure of BaPuNb, from OQMD.

Values from the calculation:
Space group: F-43m, No. 216
Magnetization in μB/cell: 0.68

Structure (POSCAR):
```
BaPuNb
1.0
0.000 3.450 3.450
3.450 0.000 3.450
3.450 3.450 0.000
Ba Nb Pu
1 1 1
Direct
0.000 0.000 0.000 Ba
0.250 0.250 0.250 Nb
0.750 0.750 0.750 Pu
```

---

The following is a PBE calculation of a relaxed structure of Rb2BaNb2Se11, from OQMD.

Values from the calculation:
Space group: P2_1/c, No. 14
Magnetization in μB/cell: 0.02

Structure (POSCAR):
```
Rb2BaNb2Se11
1.0
-6.423 -0.504 4.695
-0.245 -14.008 -1.840
11.604 -1.856 12.587
Ba Nb Rb Se
4 8 8 44
Direct
0.753 0.122 0.033 Ba
0.247 0.622 0.467 Ba
0.753 0.378 0.533 Ba
0.247 0.878 0.967 Ba
0.279 0.217 0.105 Nb
0.857 0.672 0.196 Nb
0.143 0.172 0.304 Nb
0.721 0.717 0.395 Nb
0.279 0.283 0.605 Nb
0.857 0.828 0.696 Nb
0.143 0.328 0.804 Nb
0.721 0.783 0.895 Nb
0.264 0.541 0.085 Rb
0.706 0.382 0.232 Rb
0.294 0.882 0.268 Rb
0.736 0.041 0.415 Rb
0.264 0.959 0.585 Rb
0.706 0.118 0.732 Rb
0.294 0.618 0.768 Rb
0.736 0.459 0.915 Rb
0.837 0.877 0.025 Se
0.497 0.308 0.053 Se
0.009 0.314 0.066 Se
0.794 0.553 0.101 Se
0.400 0.044 0.105 Se
0.041 0.783 0.112 Se
0.623 0.796 0.155 Se
0.079 0.073 0.174 Se
0.147 0.337 0.198 Se
0.839 0.135 0.235 Se
0.442 0.176 0.250 Se
0.558 0.676 0.250 Se
0.161 0.635 0.265 Se
0.853 0.837 0.302 Se
0.921 0.573 0.326 Se
0.377 0.296 0.345 Se
0.959 0.283 0.388 Se
0.600 0.544 0.395 Se
0.206 0.053 0.399 Se
0.991 0.814 0.434 Se
0.503 0.808 0.447 Se
0.163 0.377 0.475 Se
0.837 0.623 0.525 Se
0.497 0.192 0.553 Se
0.009 0.186 0.566 Se
0.794 0.947 0.601 Se
0.400 0.456 0.605 Se
0.041 0.717 0.612 Se
0.623 0.704 0.655 Se
0.079 0.427 0.674 Se
0.147 0.163 0.698 Se
0.839 0.365 0.735 Se
0.442 0.324 0.750 Se
0.558 0.824 0.750 Se
0.161 0.865 0.765 Se
0.853 0.663 0.802 Se
0.921 0.927 0.826 Se
0.377 0.204 0.845 Se
0.959 0.217 0.888 Se
0.600 0.956 0.895 Se
0.206 0.447 0.899 Se
0.991 0.686 0.934 Se
0.503 0.692 0.947 Se
0.163 0.123 0.975 Se
```

---

The following is a PBE calculation of a relaxed structure of Ba2NbSbS6, from OQMD.

Values from the calculation:
Space group: R-3m, No. 166
Magnetization in μB/cell: 0.01

Structure (POSCAR):
```
Ba2NbSbS6
1.0
-1.429 -5.546 12.138
-1.204 1.346 13.299
-7.168 -1.658 11.225
Ba Nb S Sb
4 2 12 2
Direct
0.114 0.114 0.114 Ba
0.280 0.280 0.280 Ba
0.720 0.720 0.720 Ba
0.886 0.886 0.886 Ba
0.413 0.413 0.413 Nb
0.587 0.587 0.587 Nb
0.617 0.617 0.126 S
0.715 0.211 0.211 S
0.211 0.715 0.211 S
0.789 0.789 0.285 S
0.874 0.383 0.383 S
0.383 0.874 0.383 S
0.126 0.617 0.617 S
0.617 0.126 0.617 S
0.211 0.211 0.715 S
0.789 0.285 0.789 S
0.285 0.789 0.789 S
0.383 0.383 0.874 S
0.000 0.000 0.000 Sb
0.500 0.500 0.500 Sb
```

---

The following is a PBE calculation of a relaxed structure of BaNbSb, from OQMD.

Values from the calculation:
Space group: F-43m, No. 216
Magnetization in μB/cell: 4.00

Structure (POSCAR):
```
BaNbSb
1.0
-3.097 1.962 3.898
0.454 5.130 1.452
-3.902 3.468 -1.174
Ba Nb Sb
1 1 1
Direct
0.250 0.250 0.250 Ba
0.750 0.750 0.750 Nb
0.000 0.000 0.000 Sb
```

---

The following is a PBE calculation of a relaxed structure of BaScNb, from OQMD.

Values from the calculation:
Space group: F-43m, No. 216
Magnetization in μB/cell: 2.15

Structure (POSCAR):
```
BaScNb
1.0
-4.709 -1.179 1.249
-1.572 0.624 4.719
-3.287 3.625 1.088
Ba Nb Sc
1 1 1
Direct
0.000 0.000 0.000 Ba
0.250 0.250 0.250 Nb
0.750 0.750 0.750 Sc
```

---

The following is a PBE calculation of a relaxed structure of BaScNb, from OQMD.

Values from the calculation:
Space group: F-43m, No. 216
Magnetization in μB/cell: 2.28

Structure (POSCAR):
```
BaScNb
1.0
3.145 -3.970 0.976
-0.564 -2.731 4.339
-1.802 -4.829 -0.207
Ba Nb Sc
1 1 1
Direct
0.250 0.250 0.250 Ba
0.000 0.000 0.000 Nb
0.750 0.750 0.750 Sc
```

---

The following is a PBE calculation of a relaxed structure of Ba2ScNb, from OQMD.

Values from the calculation:
Space group: F-43m, No. 216
Magnetization in μB/cell: 2.64

Structure (POSCAR):
```
Ba2ScNb
1.0
2.866 1.655 4.680
-2.866 1.655 4.680
0.000 -3.310 4.680
Ba Nb Sc
2 1 1
Direct
0.250 0.250 0.250 Ba
0.500 0.500 0.500 Ba
0.750 0.750 0.750 Nb
0.000 0.000 0.000 Sc
```

---

The following is a PBE calculation of a relaxed structure of Ba3Nb2Se7, from OQMD.

Values from the calculation:
Space group: Cccm, No. 66
Magnetization in μB/cell: 0.02

Structure (POSCAR):
```
Ba3Nb2Se7
1.0
3.599 -13.378 0.000
3.599 13.378 0.000
0.000 0.000 7.198
Ba Nb Se
6 4 14
Direct
0.500 0.000 0.000 Ba
0.316 0.182 0.000 Ba
0.684 0.818 0.000 Ba
0.182 0.316 0.500 Ba
0.000 0.500 0.500 Ba
0.818 0.684 0.500 Ba
0.097 0.403 0.000 Nb
0.903 0.597 0.000 Nb
0.403 0.097 0.500 Nb
0.597 0.903 0.500 Nb
0.196 0.302 0.000 Se
0.000 0.500 0.000 Se
0.804 0.698 0.000 Se
0.846 0.154 0.250 Se
0.653 0.347 0.250 Se
0.347 0.653 0.250 Se
0.154 0.846 0.250 Se
0.500 0.000 0.500 Se
0.302 0.196 0.500 Se
0.698 0.804 0.500 Se
0.846 0.154 0.750 Se
0.653 0.347 0.750 Se
0.347 0.653 0.750 Se
0.154 0.846 0.750 Se
```

---

The following is a PBE calculation of a relaxed structure of BaNbSn, from OQMD.

Values from the calculation:
Space group: F-43m, No. 216
Magnetization in μB/cell: 2.68

Structure (POSCAR):
```
BaNbSn
1.0
3.271 -3.584 -2.110
-1.748 -4.883 -1.051
-0.657 -1.553 -5.016
Ba Nb Sn
1 1 1
Direct
0.500 0.500 0.500 Ba
0.000 0.000 0.000 Nb
0.250 0.250 0.250 Sn
```

---

Listing calculated total energy for the structures above in their given order: -0.2633; -0.2813; -0.2756; -0.2732; -0.2163; -0.1566; -0.1811; -0.1648; -0.1696; -0.1986; -0.2358; -0.1763; -0.1991; -0.1809; -0.1624; -0.1805; -0.1556; -0.2034; -0.1737 Ha/atom.